8
Lattice="8.859 0.000 0.000 0.000 8.859 0.000 4.429 4.429 2.614" Properties=species:S:1:pos:R:3 comment="SbAs2Cl (GGA-PBE, relaxed)" spacegroup="I-42d, No. 122" magnetic_moment_mub_per_cell=0.0 de_polymorph_mev_per_atom=203 pbc="T T T"
As 7.112 2.215 0.653
As 6.644 6.176 1.960
As 1.746 6.644 0.653
As 11.073 11.542 1.960
Sb 0.000 0.000 0.000
Sb 8.859 4.429 1.307
Cl 4.429 8.859 1.307
Cl 4.429 4.429 0.000

5
Lattice="5.422 0.000 0.000 0.000 5.422 0.000 0.000 0.000 5.422" Properties=species:S:1:pos:R:3 comment="Sb3AsCl (GGA-PBE, relaxed)" spacegroup="Pm-3m, No. 221" magnetic_moment_mub_per_cell=0.0 de_polymorph_mev_per_atom=0 pbc="T T T"
As 0.000 0.000 0.000
Sb 0.000 2.711 0.000
Sb 2.711 0.000 0.000
Sb 0.000 0.000 2.711
Cl 2.711 2.711 2.711

16
Lattice="6.341 0.000 0.000 0.000 6.365 -0.608 0.000 -1.531 14.408" Properties=species:S:1:pos:R:3 comment="Sb2AsCl (GGA-PBE, relaxed)" spacegroup="P2/c, No. 13" magnetic_moment_mub_per_cell=0.0 de_polymorph_mev_per_atom=0 pbc="T T T"
Sb 4.668 1.994 7.675
Sb 4.668 -1.107 13.634
Sb 1.673 2.841 6.126
Sb 5.435 0.200 5.557
Sb 5.435 2.217 1.343
Sb 0.906 4.634 8.244
Sb 0.906 2.617 12.457
Sb 1.673 5.942 0.167
As 0.886 1.975 8.601
As 5.455 5.923 1.094
As 0.886 -1.089 12.707
As 5.455 2.859 5.199
Cl 3.142 -0.273 4.847
Cl 3.142 2.690 2.053
Cl 3.198 2.144 11.747
Cl 3.198 5.108 8.954

4
Lattice="3.716 0.000 0.000 0.000 3.716 0.000 0.000 0.000 6.922" Properties=species:S:1:pos:R:3 comment="SbAs2Cl (GGA-PBE, relaxed)" spacegroup="P4/mmm, No. 123" magnetic_moment_mub_per_cell=0.0 de_polymorph_mev_per_atom=276 pbc="T T T"
As 0.000 0.000 3.850
As 0.000 0.000 6.532
Cl 1.858 1.858 1.730
Sb 1.858 1.858 5.191

4
Lattice="6.369 -1.500 0.364 -1.455 6.379 0.364 -2.203 -2.187 3.084" Properties=species:S:1:pos:R:3 comment="Sb2AsCl (GGA-PBE, relaxed)" spacegroup="C2, No. 5" magnetic_moment_mub_per_cell=0.0 de_polymorph_mev_per_atom=200 pbc="T T T"
As 2.274 2.624 0.364
Sb 0.384 4.528 0.364
Sb -2.170 4.897 1.906
Cl 3.225 -0.537 1.906

4
Lattice="-7.116 2.984 -5.112 -6.377 -0.297 -6.702 -8.504 -0.144 -3.652" Properties=species:S:1:pos:R:3 comment="Sb2AsCl (GGA-PBE, relaxed)" spacegroup="R3m, No. 160" magnetic_moment_mub_per_cell=0.0 de_polymorph_mev_per_atom=212 pbc="T T T"
Sb -5.184 0.599 -3.645
Sb -0.100 0.012 -0.070
As -11.211 1.296 -7.882
Cl -16.501 1.907 -11.601